Record 1
The following is a PBE-GGA calculation of Mg4Cu3 after structural relaxation, from the Open Quantum Materials Database.

abc: 7.697 7.697 4.548
angles: 90.00 90.00 60.00
Element x y z (fractional)
Cu 0.690 0.451 0.000
Cu 0.308 0.573 0.000
Cu 0.430 0.833 0.000
Cu 0.522 0.405 0.500
Cu 0.644 0.665 0.500
Cu 0.262 0.787 0.500
Mg 0.567 0.186 0.000
Mg 0.143 0.286 0.000
Mg 0.818 0.710 0.000
Mg 0.043 0.961 0.000
Mg 0.385 0.052 0.500
Mg 0.909 0.278 0.500
Mg 0.135 0.528 0.500
Mg 0.810 0.952 0.500

Results
VASP energy = -34.5 eV for the cell shown

Record 2
The following is a PBE-GGA calculation of MgCuMoPb after structural relaxation, from the Open Quantum Materials Database.

abc: 4.686 4.686 4.686
angles: 60.00 60.00 60.00
Element x y z (fractional)
Cu 0.750 0.750 0.750
Mg 0.500 0.500 0.500
Mo 0.250 0.250 0.250
Pb 0.000 0.000 0.000

Results
M_tot = 1.00 μB per cell
VASP energy = -17.4 eV for the cell shown